# 1
This record from Alexandria describes a relaxed Mg2BeB crystal. The functional is GGA-PBE.

Computed properties:
Theoretical density in g/cm3: 1.9
Volume in Å³ per cell: 120.0
Space group: No. 6
Formation enthalpy at 0 K in eV/atom: 0.156

Structure (POSCAR):
```
Mg2BeB
1.0
5.128 0.000 0.000
0.000 3.375 0.000
-1.224 0.000 6.936
Mg Be B
4 2 2
direct
0.000 0.000 0.000
0.009 0.500 0.377
0.488 0.500 0.945
0.500 0.000 0.344
0.245 0.000 0.672
0.867 0.500 0.716
0.617 0.000 0.699
0.882 0.000 0.600
```

# 2
This record from Alexandria describes a relaxed SnPt2Br crystal. The functional is GGA-PBE.

Computed properties:
Theoretical density in g/cm3: 9.9
Volume in Å³ per cell: 196.6
E_form (uncorrected) in eV per formula unit: 0.73
Space group: No. 122

Structure (POSCAR):
```
SnPt2Br
1.0
-3.345 3.345 4.391
3.345 -3.345 4.391
3.345 3.345 -4.391
Sn Pt Br
2 4 2
direct
0.000 0.000 0.000
0.750 0.250 0.500
0.122 0.125 0.497
0.375 0.878 0.003
0.628 0.625 0.503
0.875 0.372 0.997
0.250 0.750 0.500
0.500 0.500 0.000
```

# 3
This record from Alexandria describes a relaxed Al2ReH8 crystal. The functional is GGA-PBE.

Computed properties:
Theoretical density in g/cm3: 4.7
Volume in Å³ per cell: 87.5
Uncorrected energy in eV per atom: -4.082
Space group: No. 2

Structure (POSCAR):
```
Al2ReH8
1.0
3.181 0.000 0.000
0.005 5.307 0.000
0.005 1.189 5.182
Al Re H
2 1 8
direct
0.001 0.189 0.189
0.999 0.811 0.811
0.000 0.500 0.500
0.002 0.158 0.588
0.002 0.587 0.159
0.499 0.886 0.887
0.500 0.387 0.389
0.500 0.613 0.611
0.501 0.114 0.113
0.998 0.413 0.841
0.998 0.842 0.412
```

# 4
This record from Alexandria describes a relaxed NaNb3P crystal. The functional is GGA-PBE.

Computed properties:
Theoretical density in g/cm3: 5.5
Volume in Å³ per cell: 99.8
Space group: No. 221
Formation enthalpy at 0 K in eV/atom: 2.136

Structure (POSCAR):
```
NaNb3P
1.0
4.639 0.000 0.000
0.000 4.639 0.000
0.000 0.000 4.639
Na Nb P
1 3 1
direct
0.000 0.000 0.000
0.000 0.000 0.500
0.000 0.500 0.000
0.500 0.000 0.000
0.500 0.500 0.500
```

# 5
This record from Alexandria describes a relaxed K2IrPd crystal. The functional is GGA-PBE.

Computed properties:
Theoretical density in g/cm3: 3.6
Volume in Å³ per cell: 347.5
Space group: No. 122
Formation enthalpy at 0 K in eV/atom: 0.731

Structure (POSCAR):
```
K2IrPd
1.0
-6.008 6.008 2.407
6.008 -6.008 2.407
6.008 6.008 -2.407
K Ir Pd
4 2 2
direct
0.375 0.175 0.300
0.825 0.125 0.200
0.875 0.075 0.700
0.925 0.625 0.800
0.250 0.750 0.500
0.500 0.500 0.000
0.000 0.000 0.000
0.750 0.250 0.500
```

# 6
This record from Alexandria describes a relaxed Sm3TmCd6 crystal. The functional is GGA-PBE.

Computed properties:
Theoretical density in g/cm3: 8.3
Volume in Å³ per cell: 517.4
Space group: No. 11
Formation enthalpy at 0 K in eV/atom: -0.288

Structure (POSCAR):
```
Sm3TmCd6
1.0
9.308 0.000 0.000
0.000 5.178 0.000
-2.893 0.000 10.735
Sm Tm Cd
6 2 12
direct
0.028 0.250 0.392
0.152 0.750 0.218
0.262 0.250 0.002
0.738 0.750 0.998
0.848 0.250 0.782
0.972 0.750 0.608
0.448 0.250 0.601
0.552 0.750 0.399
0.049 0.750 0.911
0.170 0.250 0.705
0.268 0.750 0.516
0.353 0.750 0.815
0.365 0.250 0.306
0.452 0.750 0.111
0.548 0.250 0.889
0.635 0.750 0.694
0.647 0.250 0.185
0.732 0.250 0.484
0.830 0.750 0.295
0.951 0.250 0.089
```